An optimized crystal structure of Cd2FeOsI, computed with PBE.

## Properties
Its formation energy from raw total energies is 0.90 eV/atom. Its symmetry is P4/mmm (123). For the energy, the calculation gives -18.57 eV for the cell shown. Its density is 7.5 g cm⁻³. Its spin magnetization is 3.12 μB/cell.

Cell: 5.3978 4.5360 5.3978 Å, 90.00 90.00 90.00°
Last column: magnetic moment on the atom in μB.
Fractional positions:
I1 0.5000 0.5000 0.5000  0.04
Os1 0.0000 0.0000 0.0000  0.17
Cd1 0.0000 0.0000 0.5000  0.00
Cd2 0.5000 0.0000 0.0000  0.00
Fe1 0.0000 0.5000 0.0000  2.67